No. 1
! BeAgOs2 (GGA-PBE, optimized geometry); values from VASP
! M_tot (μB per formula unit): 0.0
! Density (g cm⁻³): 14.59
! Energy relative to the elements (eV per atom): 0.487
! E_tot (eV per cell): -27.09
&SYSTEM
  ibrav = 0, nat = 4, ntyp = 3
/
ATOMIC_SPECIES
Be 9.01 Be.upf
Os 190.23 Os.upf
Ag 107.87 Ag.upf
CELL_PARAMETERS angstrom
-2.4515 0.4717 1.0299
2.0135 -0.4741 1.7360
1.7693 8.5668 0.2876
ATOMIC_POSITIONS crystal
Be 0.5000 0.5000 0.7610
Os 0.0000 0.0000 0.9773
Os 0.5000 0.5000 0.2338
Ag 0.0000 0.0000 0.5279



No. 2
! Zr2ScBe9 (GGA-PBE, optimized geometry); values from VASP
! M_tot (μB per formula unit): 0.0
! Density (g cm⁻³): 3.62
! Energy relative to the elements (eV per atom): -0.137
! E_tot (eV per cell): -58.60
&SYSTEM
  ibrav = 0, nat = 12, ntyp = 3
/
ATOMIC_SPECIES
Zr 91.22 Zr.upf
Sc 44.96 Sc.upf
Be 9.01 Be.upf
CELL_PARAMETERS angstrom
-0.2039 -3.5327 3.0760
3.7948 -1.1531 2.5006
-0.8653 3.1904 7.1800
ATOMIC_POSITIONS crystal
Zr 0.8574 0.8574 0.4279
Zr 0.1426 0.1426 0.5721
Sc 0.0000 0.0000 0.0000
Be 0.6657 0.6657 0.0030
Be 0.3343 0.3343 0.9970
Be 0.5000 0.5000 0.5000
Be 0.4206 0.4206 0.2375
Be 0.9212 0.4206 0.2375
Be 0.4206 0.9212 0.2375
Be 0.5794 0.5794 0.7625
Be 0.5794 0.0788 0.7625
Be 0.0788 0.5794 0.7625